Here is an optimized crystal structure of NaZn2SO from Alexandria via LeMat-Bulk. Energies are from GGA-PBE.

As for the mass density: 3.41 Mg/m³. The electronic total energy is -9.93 eV for the cell shown. The value obtained for the total magnetization is 0.0 μB per cell. Its calculated volume is 19.68 Å³ per atom.

Lattice parameters (Å, degrees): 5.0550 3.8503 5.0550 90.00 90.00 90.00
Sites, in units of the cell vectors:
Na: 0.0000 0.0000 0.0000
Zn: 0.0000 0.0000 0.5000
Zn: 0.5000 0.0000 0.0000
S: 0.5000 0.5000 0.5000
O: 0.0000 0.5000 0.0000

Here is an optimized crystal structure of CaNiB3 from Alexandria via LeMat-Bulk. Energies are from GGA-PBE.

As for the mass density: 3.70 Mg/m³. The value obtained for the energy relative to the lowest polymorph listed for this composition is 0.0 meV per atom. The value obtained for the total magnetization is 0.0 μB per cell. Its calculated volume is 11.78 Å³ per atom.

Lattice parameters (Å, degrees): 3.8906 3.8906 3.8906 90.00 90.00 90.00
Sites, in units of the cell vectors:
Ni: 0.0000 0.0000 0.0000
Ca: 0.5000 0.5000 0.5000
B: 0.0000 0.5000 0.0000
B: 0.0000 0.0000 0.5000
B: 0.5000 0.0000 0.0000

Here is an optimized crystal structure of LaZr2Au from Alexandria via LeMat-Bulk. Energies are from GGA-PBE.

As for the mass density: 9.11 Mg/m³. The value obtained for the energy relative to the lowest polymorph listed for this composition is 198.8 meV per atom. The value obtained for the total magnetization is 0.0 μB per cell. Its calculated volume is 23.62 Å³ per atom.

Lattice parameters (Å, degrees): 5.6269 5.6269 5.6269 132.68 132.68 69.15
Sites, in units of the cell vectors:
Au: 0.5000 0.5000 0.0000
La: 0.7500 0.2500 0.5000
Zr: 0.0000 0.0000 0.0000
Zr: 0.2500 0.7500 0.5000

Here is an optimized crystal structure of Fe3HgP from Alexandria via LeMat-Bulk. Energies are from GGA-PBE.

As for the mass density: 5.98 Mg/m³. The value obtained for the energy relative to the lowest polymorph listed for this composition is 1504.2 meV per atom. The value obtained for the total magnetization is 9.3 μB per cell. Its calculated volume is 22.17 Å³ per atom.

Lattice parameters (Å, degrees): 4.8037 4.8037 4.8037 90.00 90.00 90.00
Last column: magnetic moment on the atom in μB.
Sites, in units of the cell vectors:
P: 0.5000 0.5000 0.5000  -0.03
Hg: 0.0000 0.0000 0.0000  -0.06
Fe: 0.0000 0.5000 0.0000  3.05
Fe: 0.0000 0.0000 0.5000  3.53
Fe: 0.5000 0.0000 0.0000  2.62

Here is an optimized crystal structure of NaTlOs2 from Alexandria via LeMat-Bulk. Energies are from GGA-PBE.

As for the mass density: 12.49 Mg/m³. The electronic total energy is -40.54 eV for the cell shown. The value obtained for the total magnetization is 0.0 μB per cell. Its calculated volume is 20.21 Å³ per atom.

Lattice parameters (Å, degrees): 8.0423 8.0423 6.2117 49.66 49.66 90.00
Sites, in units of the cell vectors:
Na: 0.5000 0.5000 0.0000
Na: 0.2500 0.7500 0.5000
Tl: 0.0000 0.0000 0.0000
Tl: 0.7500 0.2500 0.5000
Os: 0.6585 0.1250 0.2500
Os: 0.0915 0.6250 0.2500
Os: 0.3750 0.3415 0.7500
Os: 0.8750 0.9085 0.7500

Here is an optimized crystal structure of TaCuSb from Alexandria via LeMat-Bulk. Energies are from GGA-PBE.

As for the mass density: 10.81 Mg/m³. The electronic total energy is -19.04 eV for the cell shown. The value obtained for the total magnetization is 0.0 μB per cell. Its calculated volume is 18.76 Å³ per atom.

Lattice parameters (Å, degrees): 3.0989 3.0989 6.7653 90.00 90.00 120.00
Sites, in units of the cell vectors:
Cu: 0.0000 0.0000 0.9878
Sb: 0.6667 0.3333 0.3292
Ta: 0.3333 0.6667 0.6830

Question: Number 5 is which compound?
Answer: NaTlOs2

Question: Which formula does entry 4 have?
Answer: Fe3HgP